Crystalline Sr2AlZn3 at its relaxed geometry, computed with PBE.

Values from the calculation:
Energy above the most stable polymorph in this dataset (meV per atom): 14
Density of states at the Fermi level (states/eV/cell): 9.02

Cell and atoms, written as CIF:
```
data_Sr2AlZn3
_chemical_formula_sum 'Sr4 Al2 Zn6'
_space_group_name_H-M_alt 'P 1'
_space_group_IT_number 1
_space_group_name_Hall 'P 1'
_cell_length_a 9.226
_cell_length_b 9.060
_cell_length_c 6.251
_cell_angle_alpha 71.45
_cell_angle_beta 68.58
_cell_angle_gamma 39.97
loop_
_atom_site_label
_atom_site_fract_x
_atom_site_fract_y
_atom_site_fract_z
Sr1 0.241 0.759 0.759
Sr2 0.250 0.250 0.250
Sr3 0.750 0.750 0.750
Sr4 0.759 0.241 0.241
Al1 0.335 0.335 0.665
Al2 0.665 0.665 0.335
Zn1 0.168 0.168 0.832
Zn2 0.170 0.664 0.336
Zn3 0.336 0.830 0.170
Zn4 0.664 0.170 0.830
Zn5 0.830 0.336 0.664
Zn6 0.832 0.832 0.168
```

---

Crystalline ZrCdOs2 at its relaxed geometry, computed with PBE.

Values from the calculation:
Density of states at the Fermi level (states/eV/cell): 2.99

Cell and atoms, written as CIF:
```
data_ZrCdOs2
_chemical_formula_sum 'Zr1 Cd1 Os2'
_space_group_name_H-M_alt 'P 1'
_space_group_IT_number 1
_space_group_name_Hall 'P 1'
_cell_length_a 9.165
_cell_length_b 9.165
_cell_length_c 9.165
_cell_angle_alpha 18.97
_cell_angle_beta 18.97
_cell_angle_gamma 18.97
loop_
_atom_site_label
_atom_site_fract_x
_atom_site_fract_y
_atom_site_fract_z
Zr1 0.000 0.000 0.000
Cd1 0.500 0.500 0.500
Os1 0.254 0.254 0.254
Os2 0.746 0.746 0.746
```

---

Crystalline NaNd2WN4 at its relaxed geometry, computed with PBE.

Values from the calculation:
Energy relative to the elements, uncorrected (eV per atom): -0.854
Density of states at the Fermi level (states/eV/cell): 3.56

Cell and atoms, written as CIF:
```
data_NaNd2WN4
_chemical_formula_sum 'Na1 Nd2 W1 N4'
_space_group_name_H-M_alt 'P 1'
_space_group_IT_number 1
_space_group_name_Hall 'P 1'
_cell_length_a 6.161
_cell_length_b 6.161
_cell_length_c 6.161
_cell_angle_alpha 126.54
_cell_angle_beta 126.54
_cell_angle_gamma 79.00
loop_
_atom_site_label
_atom_site_fract_x
_atom_site_fract_y
_atom_site_fract_z
Na1 0.000 0.000 0.000
Nd1 0.250 0.750 0.500
Nd2 0.750 0.250 0.500
W1 0.500 0.500 0.000
N1 0.186 0.591 0.000
N2 0.409 0.409 0.595
N3 0.591 0.186 0.000
N4 0.814 0.814 0.405
```

---

Crystalline Y3CuS2 at its relaxed geometry, computed with PBE.

Values from the calculation:
Energy relative to the elements, uncorrected (eV per atom): -1.374
Density of states at the Fermi level (states/eV/cell): 5.09

Cell and atoms, written as CIF:
```
data_Y3CuS2
_chemical_formula_sum 'Y3 Cu1 S2'
_space_group_name_H-M_alt 'P 1'
_space_group_IT_number 1
_space_group_name_Hall 'P 1'
_cell_length_a 6.975
_cell_length_b 6.975
_cell_length_c 6.975
_cell_angle_alpha 147.78
_cell_angle_beta 132.64
_cell_angle_gamma 58.44
loop_
_atom_site_label
_atom_site_fract_x
_atom_site_fract_y
_atom_site_fract_z
Y1 0.000 0.000 0.000
Y2 0.328 0.328 0.000
Y3 0.672 0.672 0.000
Cu1 0.500 0.000 0.500
S1 0.165 0.665 0.500
S2 0.835 0.335 0.500
```

---

Crystalline Tb2Al3Cu4 at its relaxed geometry, computed with PBE.

Values from the calculation:
Density of states at the Fermi level (states/eV/cell): 10.43

Cell and atoms, written as CIF:
```
data_Tb2Al3Cu4
_chemical_formula_sum 'Tb4 Al6 Cu8'
_space_group_name_H-M_alt 'P 1'
_space_group_IT_number 1
_space_group_name_Hall 'P 1'
_cell_length_a 8.155
_cell_length_b 8.155
_cell_length_c 7.301
_cell_angle_alpha 90.00
_cell_angle_beta 90.00
_cell_angle_gamma 140.32
loop_
_atom_site_label
_atom_site_fract_x
_atom_site_fract_y
_atom_site_fract_z
Tb1 0.103 0.897 0.903
Tb2 0.397 0.603 0.403
Tb3 0.603 0.397 0.597
Tb4 0.897 0.103 0.097
Al1 0.000 0.000 0.500
Al2 0.017 0.483 0.750
Al3 0.483 0.017 0.250
Al4 0.500 0.500 0.000
Al5 0.517 0.983 0.750
Al6 0.983 0.517 0.250
Cu1 0.173 0.827 0.512
Cu2 0.182 0.318 0.750
Cu3 0.318 0.182 0.250
Cu4 0.327 0.673 0.012
Cu5 0.673 0.327 0.988
Cu6 0.682 0.818 0.750
Cu7 0.818 0.682 0.250
Cu8 0.827 0.173 0.488
```

---

Crystalline Sr3BN3 at its relaxed geometry, computed with PBE.

Values from the calculation:
Energy relative to the elements, uncorrected (eV per atom): -0.816

Cell and atoms, written as CIF:
```
data_Sr3BN3
_chemical_formula_sum 'Sr6 B2 N6'
_space_group_name_H-M_alt 'P 1'
_space_group_IT_number 1
_space_group_name_Hall 'P 1'
_cell_length_a 7.366
_cell_length_b 7.366
_cell_length_c 5.264
_cell_angle_alpha 90.00
_cell_angle_beta 90.00
_cell_angle_gamma 120.00
loop_
_atom_site_label
_atom_site_fract_x
_atom_site_fract_y
_atom_site_fract_z
Sr1 0.072 0.702 0.250
Sr2 0.298 0.369 0.250
Sr3 0.369 0.072 0.750
Sr4 0.631 0.928 0.250
Sr5 0.702 0.631 0.750
Sr6 0.928 0.298 0.750
B1 0.333 0.667 0.750
B2 0.667 0.333 0.250
N1 0.137 0.690 0.750
N2 0.310 0.447 0.750
N3 0.447 0.137 0.250
N4 0.553 0.863 0.750
N5 0.690 0.553 0.250
N6 0.863 0.310 0.250
```

---

Crystalline Nb2CuRuRh at its relaxed geometry, computed with PBE.

Values from the calculation:
Density of states at the Fermi level (states/eV/cell): 9.03

Cell and atoms, written as CIF:
```
data_Nb2CuRuRh
_chemical_formula_sum 'Nb2 Cu1 Ru1 Rh1'
_space_group_name_H-M_alt 'P 1'
_space_group_IT_number 1
_space_group_name_Hall 'P 1'
_cell_length_a 4.573
_cell_length_b 4.573
_cell_length_c 4.392
_cell_angle_alpha 90.00
_cell_angle_beta 90.00
_cell_angle_gamma 90.00
loop_
_atom_site_label
_atom_site_fract_x
_atom_site_fract_y
_atom_site_fract_z
Nb1 0.000 0.500 0.000
Nb2 0.500 0.000 0.000
Cu1 0.000 0.000 0.000
Ru1 0.000 0.000 0.500
Rh1 0.500 0.500 0.500
```

---

Crystalline GdZnAgPt at its relaxed geometry, computed with PBE.

Values from the calculation:
Density of states at the Fermi level (states/eV/cell): 2.72

Cell and atoms, written as CIF:
```
data_GdZnAgPt
_chemical_formula_sum 'Gd1 Zn1 Ag1 Pt1'
_space_group_name_H-M_alt 'P 1'
_space_group_IT_number 1
_space_group_name_Hall 'P 1'
_cell_length_a 4.796
_cell_length_b 4.796
_cell_length_c 4.796
_cell_angle_alpha 60.00
_cell_angle_beta 60.00
_cell_angle_gamma 60.00
loop_
_atom_site_label
_atom_site_fract_x
_atom_site_fract_y
_atom_site_fract_z
Gd1 0.000 0.000 0.000
Zn1 0.500 0.500 0.500
Ag1 0.750 0.750 0.750
Pt1 0.250 0.250 0.250
```

---

Crystalline ZrGaTeOs2 at its relaxed geometry, computed with PBE.

Values from the calculation:
Energy relative to the elements, uncorrected (eV per atom): 1.605
Density of states at the Fermi level (states/eV/cell): 5.75

Cell and atoms, written as CIF:
```
data_ZrGaTeOs2
_chemical_formula_sum 'Zr1 Ga1 Te1 Os2'
_space_group_name_H-M_alt 'P 1'
_space_group_IT_number 1
_space_group_name_Hall 'P 1'
_cell_length_a 4.786
_cell_length_b 4.786
_cell_length_c 5.066
_cell_angle_alpha 90.00
_cell_angle_beta 90.00
_cell_angle_gamma 90.00
loop_
_atom_site_label
_atom_site_fract_x
_atom_site_fract_y
_atom_site_fract_z
Zr1 0.000 0.000 0.000
Ga1 0.500 0.500 0.000
Te1 0.500 0.500 0.500
Os1 0.000 0.500 0.500
Os2 0.500 0.000 0.500
```

---

Crystalline ScPaO4 at its relaxed geometry, computed with PBE.

Values from the calculation:
Energy relative to the elements, uncorrected (eV per atom): -3.567
Density of states at the Fermi level (states/eV/cell): 0.00

Cell and atoms, written as CIF:
```
data_ScPaO4
_chemical_formula_sum 'Sc2 Pa2 O8'
_space_group_name_H-M_alt 'P 1'
_space_group_IT_number 1
_space_group_name_Hall 'P 1'
_cell_length_a 5.358
_cell_length_b 5.212
_cell_length_c 5.885
_cell_angle_alpha 90.00
_cell_angle_beta 90.00
_cell_angle_gamma 90.00
loop_
_atom_site_label
_atom_site_fract_x
_atom_site_fract_y
_atom_site_fract_z
Sc1 0.000 0.000 0.000
Sc2 0.000 0.500 0.500
Pa1 0.500 0.000 0.633
Pa2 0.500 0.500 0.133
O1 0.184 0.233 0.714
O2 0.184 0.267 0.214
O3 0.313 0.716 0.412
O4 0.313 0.784 0.912
O5 0.687 0.216 0.912
O6 0.687 0.284 0.412
O7 0.816 0.733 0.214
O8 0.816 0.767 0.714
```

---

Crystalline PmBe3Au10 at its relaxed geometry, computed with PBE.

Values from the calculation:
Density of states at the Fermi level (states/eV/cell): 10.15

Cell and atoms, written as CIF:
```
data_PmBe3Au10
_chemical_formula_sum 'Pm2 Be6 Au20'
_space_group_name_H-M_alt 'P 1'
_space_group_IT_number 1
_space_group_name_Hall 'P 1'
_cell_length_a 8.818
_cell_length_b 8.818
_cell_length_c 8.818
_cell_angle_alpha 60.00
_cell_angle_beta 60.00
_cell_angle_gamma 60.00
loop_
_atom_site_label
_atom_site_fract_x
_atom_site_fract_y
_atom_site_fract_z
Pm1 0.250 0.250 0.250
Pm2 0.750 0.750 0.750
Be1 0.237 0.237 0.763
Be2 0.237 0.763 0.237
Be3 0.237 0.763 0.763
Be4 0.763 0.237 0.237
Be5 0.763 0.237 0.763
Be6 0.763 0.763 0.237
Au1 0.113 0.113 0.113
Au2 0.113 0.113 0.661
Au3 0.113 0.661 0.113
Au4 0.161 0.500 0.500
Au5 0.161 0.500 0.839
Au6 0.161 0.839 0.500
Au7 0.339 0.887 0.887
Au8 0.500 0.161 0.500
Au9 0.500 0.161 0.839
Au10 0.500 0.500 0.161
Au11 0.500 0.500 0.839
Au12 0.500 0.839 0.161
Au13 0.500 0.839 0.500
Au14 0.661 0.113 0.113
Au15 0.839 0.161 0.500
Au16 0.839 0.500 0.161
Au17 0.839 0.500 0.500
Au18 0.887 0.339 0.887
Au19 0.887 0.887 0.339
Au20 0.887 0.887 0.887
```

---

Crystalline SrLuCdHg at its relaxed geometry, computed with PBE.

Values from the calculation:
Density of states at the Fermi level (states/eV/cell): 2.45

Cell and atoms, written as CIF:
```
data_SrLuCdHg
_chemical_formula_sum 'Sr1 Lu1 Cd1 Hg1'
_space_group_name_H-M_alt 'P 1'
_space_group_IT_number 1
_space_group_name_Hall 'P 1'
_cell_length_a 5.421
_cell_length_b 5.421
_cell_length_c 5.421
_cell_angle_alpha 60.00
_cell_angle_beta 60.00
_cell_angle_gamma 60.00
loop_
_atom_site_label
_atom_site_fract_x
_atom_site_fract_y
_atom_site_fract_z
Sr1 0.000 0.000 0.000
Lu1 0.500 0.500 0.500
Cd1 0.750 0.750 0.750
Hg1 0.250 0.250 0.250
```

---

| no. | raw total energy (eV per atom) | total moment (μB/f.u.) |
| --- | --- | --- |
| 1 | -2.05 | 0.000 |
| 2 | -7.62 | 0.000 |
| 3 | -7.99 | 0.000 |
| 4 | -6.66 | 0.000 |
| 5 | -4.44 | 0.000 |
| 6 | -6.06 | 0.000 |
| 7 | -6.97 | 0.000 |
| 8 | -6.59 | 7.203 |
| 9 | -5.83 | 0.000 |
| 10 | -9.51 | 0.000 |
| 11 | -3.75 | 0.000 |
| 12 | -2.18 | 0.000 |